Material: Tb2DyHg
Method: DFT, PBE-GGA
State: relaxed

Unit cell a=3.6111 b=3.6111 c=31.8156 alpha=90.00 beta=90.00 gamma=120.00
With the nearest neighbours (Å) after each atom.
Space group R-3m (No. 166, hexagonal axes)
Asymmetric unit:
Tb 0.0000 0.0000 0.2431 (multiplicity 6)  3 Hg 3.20, 3 Dy 3.55
Dy 0.0000 0.0000 0.0000 (multiplicity 3)  6 Tb 3.55, 6 Dy 3.61
Hg 0.0000 0.0000 0.5000 (multiplicity 3)  6 Tb 3.20

Computed properties:
volume	29.94	A^3/atom
formation enthalpy at 0 K	-0.1580	eV/atom
relative energy among the computed polymorphs	68	meV per atom
crystal system	trigonal